Computed, not measured: a geometry-optimized Sm3Ho2ErTe6 structure at the PBE-GGA level of DFT.

Output
Spin magnetization, μB per cell: 0.00

abc: 4.351 8.853 9.847
angles: 104.09 102.76 90.00
Fractional coordinates of all 12 atoms:
Ho: 0.167 0.334 0.335
Te: 0.002 0.244 0.004
Te: 0.664 0.088 0.328
Sm: 0.833 0.167 0.666
Te: 0.668 0.578 0.337
Sm: 0.167 0.833 0.334
Sm: 0.500 0.500 0.000
Te: 0.998 0.756 0.996
Er: 0.500 0.000 0.000
Ho: 0.833 0.666 0.665
Te: 0.336 0.912 0.672
Te: 0.332 0.422 0.663

***

Computed, not measured: a geometry-optimized SmHo2Er3Te6 structure at the PBE-GGA level of DFT.

Output
Spin magnetization, μB per cell: 0.00

abc: 4.320 8.742 9.741
angles: 103.56 102.81 90.00
Fractional coordinates of all 12 atoms:
Ho: 0.164 0.328 0.328
Sm: 0.500 0.000 0.000
Te: 0.668 0.583 0.335
Te: 0.000 0.742 0.000
Te: 0.000 0.258 0.000
Te: 0.332 0.417 0.665
Er: 0.837 0.168 0.674
Te: 0.671 0.083 0.342
Te: 0.329 0.917 0.658
Er: 0.163 0.832 0.326
Ho: 0.836 0.672 0.672
Er: 0.500 0.500 0.000

***

Computed, not measured: a geometry-optimized Sm4Ho3ErTe8 structure at the PBE-GGA level of DFT.

Output
Spin magnetization, μB per cell: 0.00

abc: 8.702 8.853 8.702
angles: 119.44 120.00 90.00
Fractional coordinates of all 16 atoms:
Te: 0.253 0.260 0.506
Sm: 0.500 0.000 0.000
Sm: 0.000 0.000 0.000
Ho: 0.500 0.500 0.500
Sm: 0.000 0.000 0.500
Te: 0.754 0.260 0.006
Ho: 0.000 0.500 0.500
Te: 0.754 0.260 0.508
Er: 0.000 0.500 0.000
Te: 0.747 0.740 0.994
Te: 0.253 0.260 0.006
Te: 0.747 0.740 0.494
Ho: 0.500 0.500 0.000
Sm: 0.500 0.000 0.500
Te: 0.246 0.740 0.492
Te: 0.246 0.740 0.994

***

Computed, not measured: a geometry-optimized SmHo2ErTe6 structure at the PBE-GGA level of DFT.

Output
Spin magnetization, μB per cell: 0.00

abc: 7.704 7.704 8.314
angles: 62.40 62.40 60.00
Fractional coordinates of all 10 atoms:
Ho: 0.008 0.008 0.976
Te: 0.601 0.235 0.248
Te: 0.407 0.730 0.752
Sm: 0.821 0.821 0.536
Er: 0.323 0.323 0.030
Te: 0.111 0.407 0.752
Ho: 0.509 0.509 0.472
Te: 0.916 0.601 0.248
Te: 0.730 0.111 0.752
Te: 0.235 0.916 0.248

***

Computed, not measured: a geometry-optimized Sm4HoEr3Te8 structure at the PBE-GGA level of DFT.

Output
Spin magnetization, μB per cell: 0.00

abc: 8.681 8.859 8.681
angles: 119.34 120.00 90.00
Fractional coordinates of all 16 atoms:
Te: 0.753 0.261 0.507
Te: 0.753 0.261 0.008
Er: 0.500 0.500 0.500
Te: 0.254 0.261 0.008
Te: 0.247 0.739 0.992
Sm: 0.000 0.000 0.500
Sm: 0.500 0.000 0.500
Te: 0.746 0.739 0.492
Er: 0.000 0.500 0.500
Sm: 0.500 0.000 0.000
Te: 0.746 0.739 0.992
Te: 0.254 0.261 0.508
Sm: 0.000 0.000 0.000
Ho: 0.000 0.500 0.000
Er: 0.500 0.500 0.000
Te: 0.247 0.739 0.493

***

Computed, not measured: a geometry-optimized SmHoEr2Te6 structure at the PBE-GGA level of DFT.

Output
Spin magnetization, μB per cell: 0.00

abc: 7.697 7.697 8.304
angles: 62.40 62.38 60.01
Fractional coordinates of all 10 atoms:
Sm: 0.821 0.821 0.537
Ho: 0.323 0.323 0.032
Er: 0.008 0.008 0.977
Te: 0.404 0.733 0.751
Te: 0.236 0.913 0.248
Er: 0.509 0.509 0.473
Te: 0.913 0.603 0.248
Te: 0.112 0.404 0.751
Te: 0.603 0.236 0.248
Te: 0.732 0.112 0.751

***

Asked for total DFT energy (no corrections) across the records above, the calculation gives -5.206 -5.119 -5.204 -5.084 -5.194 -5.080 eV/atom in order.
Asked for raw formation energy across the records above, the calculation gives -1312 -1252 -1310 -1355 -1302 -1353 meV per atom in order.